1.
4
Lattice="5.340 0.000 0.000 2.670 4.624 0.000 2.670 1.541 4.360" Properties=species:S:1:pos:R:3 comment="NaCaGeBi (PBE, relaxed)" formation_energy_ev_per_atom=-0.302 space_group="F-43m, No. 216" rho_kg_m3=5317 magnetic_moment_mub_per_cell=0.0 crystal_system=cubic volume_a3_per_atom=26.913 pbc="T T T"
Ca 0.000 0.000 0.000
Bi 8.010 4.624 3.270
Na 5.340 3.083 2.180
Ge 2.670 1.541 1.090

***

2.
16
Lattice="7.172 0.000 0.000 0.000 7.172 0.000 -3.586 -3.586 6.137" Properties=species:S:1:pos:R:3 comment="Hf5Al2Ge (PBE, relaxed)" formation_energy_ev_per_atom=-0.366 space_group="I4/mcm, No. 140" rho_kg_m3=10721 magnetic_moment_mub_per_cell=0.0 crystal_system=tetragonal volume_a3_per_atom=19.730 pbc="T T T"
Hf 1.139 4.725 1.909
Hf -1.139 -2.447 4.228
Hf -2.447 1.139 4.228
Hf 0.000 0.000 0.000
Hf 2.447 -1.139 4.228
Hf 2.447 1.139 1.909
Ge 3.586 3.586 3.069
Hf 6.033 2.447 1.909
Hf 1.139 2.447 4.228
Al 0.953 2.633 0.000
Ge 0.000 0.000 3.069
Hf 4.725 6.033 1.909
Al 6.219 4.539 0.000
Hf 3.586 3.586 0.000
Al 4.539 0.953 0.000
Al 2.633 6.219 0.000

***

3.
5
Lattice="-1.233 2.326 4.238 -4.389 1.295 -1.988 0.046 -7.568 1.230" Properties=species:S:1:pos:R:3 comment="KCdInPb2 (PBE, relaxed)" formation_energy_ev_per_atom=-0.074 space_group="I-4m2, No. 119" rho_kg_m3=6670 magnetic_moment_mub_per_cell=0.0 crystal_system=tetragonal volume_a3_per_atom=33.895 pbc="T T T"
K 0.000 0.000 0.000
Cd -3.577 -2.231 0.183
In -1.999 -1.716 3.297
Pb -3.450 0.482 1.669
Pb -2.127 -4.428 1.811

***

4.
20
Lattice="3.498 0.000 0.000 0.000 9.632 0.000 0.000 0.000 9.632" Properties=species:S:1:pos:R:3 comment="Zr2TaV2Ru5 (PBE, relaxed)" formation_energy_ev_per_atom=-0.256 space_group="P4/mbm, No. 127" rho_kg_m3=9934 magnetic_moment_mub_per_cell=0.0 crystal_system=tetragonal volume_a3_per_atom=16.225 pbc="T T T"
Ru 1.749 2.838 5.450
V 0.000 6.015 8.433
V 0.000 3.617 1.199
Ru 1.749 4.182 2.838
Ru 1.749 8.998 1.978
V 0.000 1.199 6.015
Ru 1.749 7.654 8.998
Zr 0.000 6.501 1.685
Ta 0.000 0.000 0.000
Ru 1.749 1.978 0.634
Zr 0.000 7.947 6.501
Ta 0.000 4.816 4.816
Zr 0.000 3.131 7.947
Zr 0.000 1.685 3.131
Ru 1.749 4.816 0.000
V 0.000 8.433 3.617
Ru 1.749 5.450 6.794
Ru 1.749 0.634 7.654
Ru 1.749 0.000 4.816
Ru 1.749 6.794 4.182

***

5.
3
Lattice="4.031 0.000 0.000 0.000 4.973 0.000 0.000 -2.487 4.307" Properties=species:S:1:pos:R:3 comment="BaLiGe (PBE, relaxed)" formation_energy_ev_per_atom=-0.367 space_group="P-6m2, No. 187" rho_kg_m3=4172 magnetic_moment_mub_per_cell=0.0 crystal_system=hexagonal volume_a3_per_atom=28.780 pbc="T T T"
Ba 2.688 0.000 2.871
Li 0.672 0.000 0.000
Ge 0.671 2.487 1.436

***

6.
6
Lattice="7.436 0.000 -0.006 2.963 4.734 -1.372 -2.963 4.734 1.372" Properties=species:S:1:pos:R:3 comment="CaVH (PBE, relaxed)" space_group="Cm, No. 8" rho_kg_m3=3170 magnetic_moment_mub_per_cell=0.0 crystal_system=monoclinic e_above_lowest_polymorph_mev_per_atom=202 volume_a3_per_atom=16.069 pbc="T T T"
V 3.222 4.734 0.335
Ca 0.396 6.581 0.220
Ca 0.396 2.886 0.220
H 2.761 6.485 0.801
V 5.101 4.734 0.224
H 2.761 2.982 0.801

***

7.
4
Lattice="-1.043 4.499 -1.343 -2.695 2.794 2.840 1.994 3.722 2.304" Properties=species:S:1:pos:R:3 comment="LiTbSiAg (PBE, relaxed)" space_group="F-43m, No. 216" e_form_raw_ev_per_atom=-0.345 rho_kg_m3=6369 magnetic_moment_mub_per_cell=0.0 crystal_system=cubic volume_a3_per_atom=19.673 pbc="T T T"
Si -1.308 8.261 2.850
Tb 0.000 0.000 0.000
Ag -0.436 2.754 0.950
Li -0.872 5.508 1.900

***

8.
30
Lattice="7.694 0.001 0.017 3.846 6.663 0.043 -0.045 -0.105 21.014" Properties=species:S:1:pos:R:3 comment="Li4Nd2I9 (PBE, relaxed)" space_group="P-3c1, No. 165" e_form_raw_ev_per_atom=-1.236 rho_kg_m3=4496 magnetic_moment_mub_per_cell=2.0 crystal_system=trigonal volume_a3_per_atom=35.909 pbc="T T T"
Li 3.824 2.171 10.281
I 8.838 6.513 8.839
Nd 11.524 6.629 7.163
I 10.228 4.386 5.298
I 2.573 4.225 12.256
Nd 3.810 6.574 17.653
I 6.406 2.280 19.320
I 6.236 2.208 12.253
I 10.067 4.298 19.338
Li 7.672 4.388 10.792
Li 3.804 2.117 20.787
I 6.381 2.227 5.279
I 8.909 6.585 15.815
I 1.268 2.173 15.775
I 5.007 0.100 1.732
I 5.090 4.279 1.754
Li 7.676 4.407 7.207
Li 7.692 4.442 0.286
I 6.489 6.459 19.342
I 5.260 4.351 8.821
I 1.429 2.260 1.735
Nd -0.028 -0.070 13.911
I 8.922 2.334 8.818
I 5.115 4.332 15.794
Li 3.820 2.152 13.866
Li 7.658 4.353 17.715
I 2.587 -0.026 5.259
Nd 7.686 -0.015 3.421
I 2.657 0.046 12.234
Li 3.838 2.206 3.359